Record 1
Sc5IrCl9: optimized geometry, PBE.

a b c (Å): 11.783 11.783 22.605
angles (deg): 105.11 105.11 90.00
Positions (direct):
Sc: 0.896 0.411 0.677
Cl: 0.171 0.321 0.049
Cl: 0.785 0.529 0.068
Cl: 0.815 0.981 0.321
Sc: 0.930 0.585 0.577
Cl: 0.971 0.217 0.432
Cl: 0.945 0.085 0.556
Sc: 0.832 0.451 0.311
Sc: 0.049 0.021 0.189
Cl: 0.215 0.471 0.932
Cl: 0.538 0.285 0.568
Cl: 0.426 0.147 0.312
Cl: 0.604 0.266 0.941
Cl: 0.647 0.386 0.812
Cl: 0.506 0.840 0.321
Sc: 0.917 0.176 0.309
Cl: 0.771 0.096 0.814
Cl: 0.980 0.950 0.064
Cl: 0.481 0.006 0.821
Sc: 0.089 0.719 0.823
Cl: 0.185 0.019 0.679
Sc: 0.911 0.281 0.177
Cl: 0.471 0.445 0.056
Cl: 0.165 0.926 0.812
Cl: 0.336 0.175 0.941
Sc: 0.133 0.982 0.565
Sc: 0.479 0.360 0.311
Cl: 0.229 0.904 0.186
Cl: 0.271 0.593 0.811
Sc: 0.085 0.147 0.077
Cl: 0.494 0.160 0.679
Cl: 0.460 0.283 0.189
Sc: 0.104 0.589 0.323
Sc: 0.951 0.979 0.811
Sc: 0.083 0.824 0.691
Sc: 0.734 0.604 0.823
Cl: 0.585 0.111 0.056
Cl: 0.084 0.614 0.064
Cl: 0.550 0.416 0.436
Cl: 0.114 0.335 0.688
Cl: 0.415 0.889 0.944
Cl: 0.675 0.104 0.441
Cl: 0.660 0.685 0.179
Sc: 0.392 0.633 0.309
Sc: 0.324 0.108 0.191
Sc: 0.219 0.234 0.323
Sc: 0.867 0.583 0.191
Cl: 0.020 0.050 0.936
Cl: 0.325 0.896 0.559
Cl: 0.596 0.543 0.314
Sc: 0.582 0.633 0.065
Cl: 0.340 0.315 0.821
Cl: 0.664 0.825 0.059
Ir: 0.139 0.228 0.199
Cl: 0.529 0.555 0.944
Sc: 0.647 0.492 0.577
Cl: 0.396 0.734 0.059
Ir: 0.971 0.639 0.699
Cl: 0.611 0.971 0.556
Sc: 0.353 0.508 0.423
Cl: 0.783 0.229 0.689
Sc: 0.867 0.018 0.435
Sc: 0.568 0.918 0.435
Cl: 0.907 0.960 0.689
Cl: 0.728 0.671 0.549
Sc: 0.140 0.668 0.189
Sc: 0.521 0.640 0.689
Sc: 0.992 0.430 0.077
Cl: 0.916 0.386 0.936
Cl: 0.353 0.614 0.188
Cl: 0.957 0.782 0.186
Sc: 0.418 0.367 0.935
Sc: 0.518 0.068 0.935
Ir: 0.861 0.772 0.801
Sc: 0.432 0.082 0.565
Sc: 0.070 0.415 0.423
Cl: 0.029 0.783 0.568
Cl: 0.179 0.622 0.451
Cl: 0.283 0.038 0.068
Sc: 0.266 0.396 0.177
Cl: 0.519 0.994 0.179
Cl: 0.729 0.407 0.189
Cl: 0.574 0.853 0.688
Cl: 0.234 0.164 0.559
Cl: 0.389 0.029 0.444
Cl: 0.043 0.218 0.814
Sc: 0.133 0.417 0.809
Ir: 0.940 0.529 0.801
Cl: 0.540 0.717 0.811
Cl: 0.717 0.962 0.932
Sc: 0.482 0.932 0.065
Sc: 0.781 0.766 0.677
Cl: 0.878 0.228 0.049
Ir: 0.728 0.560 0.699
Sc: 0.008 0.570 0.923
Cl: 0.114 0.480 0.564
Cl: 0.886 0.520 0.436
Cl: 0.217 0.771 0.311
Sc: 0.860 0.332 0.811
Sc: 0.915 0.853 0.923
Cl: 0.829 0.679 0.951
Cl: 0.404 0.457 0.686
Cl: 0.835 0.074 0.188
Cl: 0.122 0.772 0.951
Cl: 0.821 0.378 0.549
Ir: 0.272 0.440 0.301
Cl: 0.718 0.271 0.314
Cl: 0.462 0.715 0.432
Ir: 0.029 0.361 0.301
Sc: 0.168 0.549 0.689
Cl: 0.093 0.040 0.311
Cl: 0.282 0.729 0.686
Cl: 0.272 0.329 0.451
Ir: 0.060 0.471 0.199
Sc: 0.676 0.892 0.809
Cl: 0.055 0.915 0.444
Cl: 0.766 0.836 0.441
Cl: 0.450 0.584 0.564
Cl: 0.886 0.665 0.312
Sc: 0.608 0.367 0.691

## Properties
DFT total energy, eV per cell: -682.97
M_tot, μB/cell: 0.4

Record 2
LaCe4Th3N8: optimized geometry, PBE.

a b c (Å): 7.260 7.256 7.259
angles (deg): 120.02 120.00 90.00
Positions (direct):
Th: 0.500 0.500 0.500
N: 0.258 0.758 0.000
Ce: 0.000 0.000 0.000
Ce: 0.500 0.000 0.500
N: 0.742 0.242 0.484
N: 0.258 0.242 0.000
N: 0.258 0.758 0.516
N: 0.750 0.751 0.501
N: 0.742 0.242 0.000
La: 0.000 0.500 0.000
Ce: 0.500 0.000 0.000
Ce: 0.000 0.000 0.500
N: 0.742 0.758 0.000
N: 0.250 0.249 0.499
Th: 0.000 0.500 0.500
Th: 0.500 0.500 0.000

## Properties
DFT total energy, eV per cell: -141.78
M_tot, μB/cell: 0.0

Q: Number 1 is which compound?
A: Sc5IrCl9